The following is a DFT calculation (PBE) of an optimized crystal structure of Ca5Hg2Pt2.

## Properties
The calculation puts the total energy at -3.2293 eV per atom. Its symmetry is Cmce. The formation enthalpy at 0 K is -708 meV per atom.

Lattice parameters (Å, degrees): 7.7921 7.8412 8.9156 90.00 64.09 90.00
Positions (direct):
Ca: 0.0000 0.0000 0.0000
Ca: 0.5000 0.5000 0.0000
Ca: 0.4537 0.1688 0.7543
Ca: 0.7920 0.8312 0.7543
Ca: 0.2920 0.6688 0.7543
Ca: 0.9537 0.3312 0.7543
Ca: 0.5463 0.8312 0.2457
Ca: 0.2080 0.1688 0.2457
Ca: 0.7080 0.3312 0.2457
Ca: 0.0463 0.6688 0.2457
Hg: 0.2126 0.0000 0.5749
Hg: 0.7126 0.5000 0.5749
Hg: 0.7874 0.0000 0.4251
Hg: 0.2874 0.5000 0.4251
Pt: 0.1279 0.3713 0.0000
Pt: 0.8721 0.6287 0.0000
Pt: 0.3721 0.8713 0.0000
Pt: 0.6279 0.1287 0.0000